The following is a GGA-PBE calculation of an optimized crystal structure of LiYGe, from the Alexandria database.

POSCAR file:
```
LiYGe
1.0
-3.788 -2.636 -1.975
3.049 -0.599 -5.048
1.265 -5.007 -2.122
Ge Y Li
2 2 2
Cartesian
1.525 -0.300 -2.524
0.000 0.000 0.000
-0.741 -2.277 -1.918
1.268 -5.965 -7.228
2.157 -2.803 -3.585
0.263 -4.121 -4.573
```

Summary:
The distance to the lowest polymorph of the same formula is 301 meV per atom. The crystal system is orthorhombic. The symmetry is Imma. For the calculated total energy, the calculation gives -4.77 eV/atom. The calculation puts the energy of formation from the pure elements at -0.4336 eV per atom.